Below is a geometry-optimized NaSbTeI2 structure, with properties calculated at the PBE level.

Cell and atoms, written as POSCAR:
```
NaSbTeI2
1.0
6.3693 0.0000 0.0000
0.0000 6.3693 0.0000
0.0000 0.0000 5.7242
Na Sb Te I
1 1 1 2
Cartesian
0.0000 0.0000 0.0000
3.1846 3.1846 0.0000
3.1846 3.1846 2.8621
0.0000 3.1846 2.8621
3.1846 0.0000 2.8621
```

Output
Energy relative to the elements, uncorrected = 0.0284 eV/atom
DOS at the Fermi energy = 0.62 states/eV/atom
Size of the total moment = 0.0 μB per cell
Relative energy among the computed polymorphs = 320 meV per atom

Below is a geometry-optimized RbPrGeO4 structure, with properties calculated at the PBE level.

Cell and atoms, written as POSCAR:
```
RbPrGeO4
1.0
5.9852 0.0000 0.0000
0.0000 5.9760 0.0000
-2.1873 0.0000 7.4681
Rb Pr Ge O
2 2 2 8
Cartesian
0.1939 1.4940 3.1747
3.6040 4.4820 4.2933
-0.3747 1.4940 7.1253
4.1726 4.4820 0.3427
1.1360 4.4820 1.2280
2.6620 1.4940 6.2400
-1.6968 4.4820 7.0333
-0.2914 4.4820 2.2644
2.2936 3.1150 1.3592
2.2936 5.8490 1.3592
1.5044 0.1270 6.1089
1.5044 2.8610 6.1089
4.0893 1.4940 5.2036
5.4947 1.4940 0.4348
```

Output
Energy relative to the elements, uncorrected = -2.3192 eV/atom
DOS at the Fermi energy = 0.00 states/eV/atom
Size of the total moment = 0.0 μB per cell

Below is a geometry-optimized Ni3Mo structure, with properties calculated at the PBE level.

Cell and atoms, written as POSCAR:
```
Ni3Mo
1.0
4.4095 0.0000 0.0000
0.0000 8.4113 0.0000
0.0000 0.0000 5.2433
Ni Mo
12 4
Cartesian
0.4001 2.1028 0.6609
1.0783 0.0095 4.5854
1.0783 4.1961 4.5854
1.1264 4.2151 1.9637
1.1264 8.4018 1.9637
1.8047 6.3084 3.2825
2.6048 2.1028 1.9608
3.2831 0.0095 3.2796
3.2831 4.1961 3.2796
3.3311 4.2151 0.6579
3.3311 8.4018 0.6579
4.0094 6.3084 4.5825
0.3780 2.1028 3.1870
1.8268 6.3084 0.5653
2.5827 2.1028 4.6780
4.0315 6.3084 2.0563
```

Output
DOS at the Fermi energy = 1.51 states/eV/atom
Size of the total moment = 0.0 μB per cell
Formation energy = 0.062 eV per atom

Below is a geometry-optimized Sr3PuHg12 structure, with properties calculated at the PBE level.

Cell and atoms, written as POSCAR:
```
Sr3PuHg12
1.0
4.8132 0.0000 0.0000
0.0000 4.8132 0.0000
0.0000 0.0000 19.3019
Sr Pu Hg
3 1 12
Cartesian
0.0000 0.0000 0.0000
0.0000 0.0000 4.9038
0.0000 0.0000 14.3981
0.0000 0.0000 9.6509
0.0000 2.4066 2.4461
0.0000 2.4066 7.3862
0.0000 2.4066 11.9156
0.0000 2.4066 16.8557
2.4066 0.0000 2.4461
2.4066 0.0000 7.3862
2.4066 0.0000 11.9156
2.4066 0.0000 16.8557
2.4066 2.4066 0.0000
2.4066 2.4066 4.8947
2.4066 2.4066 9.6509
2.4066 2.4066 14.4071
```

Output
DOS at the Fermi energy = 1.28 states/eV/atom
Size of the total moment = 6.5 μB per cell
Formation energy = -0.317 eV per atom

Below is a geometry-optimized CeSb2Rh5 structure, with properties calculated at the PBE level.

Cell and atoms, written as POSCAR:
```
CeSb2Rh5
1.0
-1.9756 3.5978 5.2452
1.9756 -3.5978 5.2452
1.9756 3.5978 -5.2452
Ce Sb Rh
1 2 5
Cartesian
0.0000 0.0000 0.0000
1.9756 0.0000 2.6829
0.0000 3.5978 2.5623
1.9756 2.1747 -1.3834
1.9756 2.1747 1.3834
0.0000 3.5978 0.0000
0.0000 1.4231 3.8618
0.0000 1.4231 6.6285
```

Output
Energy relative to the elements, uncorrected = -0.4862 eV/atom
DOS at the Fermi energy = 0.86 states/eV/atom
Size of the total moment = 0.2 μB per cell

Below is a geometry-optimized Ce3InP4 structure, with properties calculated at the PBE level.

Cell and atoms, written as POSCAR:
```
Ce3InP4
1.0
5.7632 0.0000 0.0000
0.0000 5.7632 0.0000
0.0000 0.0000 5.7632
Ce In P
3 1 4
Cartesian
0.0000 0.0000 2.8816
0.0000 2.8816 0.0000
2.8816 0.0000 0.0000
2.8816 2.8816 2.8816
0.0000 0.0000 0.0000
0.0000 2.8816 2.8816
2.8816 0.0000 2.8816
2.8816 2.8816 0.0000
```

Output
DOS at the Fermi energy = 1.79 states/eV/atom
Size of the total moment = 1.9 μB per cell
Formation energy = -1.056 eV per atom

Which of these has the lowest DOS at the Fermi energy? RbPrGeO4

Which of these has the lowest DOS at the Fermi energy? RbPrGeO4